Entry from Alexandria: an optimized crystal structure of MoH2O4 (GGA+U).

For the energy above the lowest structure with this stoichiometry, the calculation gives 0 meV per atom. The density of states at the Fermi level is 0.000 states/eV/atom.

The structure belongs to space group P-1 (No. 2); the cell edges are 3.770, 6.570 and 7.535 Å and the angles 70.16°, 81.83° and 78.91°. The distinct sites, in fractional coordinates, are Mo at (0.245, 0.353, 0.194), H at (0.005, 0.717, 0.339), H at (0.256, 0.829, 0.160), O at (0.121, 0.705, 0.216), O at (0.186, 0.273, 0.439), O at (0.262, 0.564, 0.878) and O at (0.346, 0.106, 0.150).